(1)
# Pm2InGa3Pd4, optimized geometry, DFT PBE
# DOS at the Fermi energy	6.44	states/eV per cell
# size of the total moment	0.0	μB per formula unit
# ΔH_f (0 K)	-0.75	eV per atom
data_Pm2InGa3Pd4
_chemical_formula_sum 'Pm2 In1 Ga3 Pd4'
_cell_length_a 4.146
_cell_length_b 4.146
_cell_length_c 11.574
_cell_angle_alpha 90.00
_cell_angle_beta 90.00
_cell_angle_gamma 90.00
_space_group_name_H-M_alt 'P -4 m 2'
_space_group_IT_number 115
_space_group_name_Hall 'P -4 -2'
loop_
_atom_site_label
_atom_site_fract_x
_atom_site_fract_y
_atom_site_fract_z
_atom_site_occupancy
Pm1 0.000 0.500 0.244 1
In1 0.000 0.000 0.500 1
Ga1 0.000 0.500 0.872 1
Ga2 0.500 0.500 0.500 1
Pd1 0.000 0.000 0.000 1
Pd2 0.000 0.500 0.655 1
Pd3 0.500 0.500 0.000 1

(2)
# PrHoMg2Pd4, optimized geometry, DFT PBE
# DOS at the Fermi energy	11.96	states/eV per cell
# size of the total moment	0.0	μB per formula unit
# ΔH_f (0 K)	-0.76	eV per atom
data_PrHoMg2Pd4
_chemical_formula_sum 'Pr3 Ho3 Mg6 Pd12'
_cell_length_a 4.5854
_cell_length_b 4.5854
_cell_length_c 26.9844
_cell_angle_alpha 90.00
_cell_angle_beta 90.00
_cell_angle_gamma 120.00
_space_group_name_H-M_alt 'R -3 m'
_space_group_IT_number 166
_space_group_name_Hall '-R 3 2"'
loop_
_atom_site_label
_atom_site_fract_x
_atom_site_fract_y
_atom_site_fract_z
_atom_site_occupancy
Pr1 0.0000 0.0000 0.0000 1
Ho1 0.0000 0.0000 0.5000 1
Mg1 0.0000 0.0000 0.2449 1
Pd1 0.0000 0.0000 0.1168 1
Pd2 0.0000 0.0000 0.3946 1